[1]
Entry from the Alexandria database: an optimized crystal structure of ZrVBO2 (PBE+U).

Cell: 3.684 3.684 4.385 Å, 90.00 90.00 90.00°
Positions (direct):
1 Zr 0.000 0.000 0.000
2 V 0.500 0.500 0.500
3 B 0.500 0.500 0.000
4 O 0.000 0.500 0.500
5 O 0.500 0.000 0.500

Calculated density ... 5163 kg/m3
Space group ... P4/mmm (123)
N(E_F) ... 1.82 states/eV/cell

=====

[2]
Entry from the Alexandria database: an optimized crystal structure of NbTlV2O8 (PBE+U).

Cell: 5.582 5.582 7.997 Å, 91.27 91.27 61.84°
Positions (direct):
1 Nb 0.000 0.000 0.000
2 Tl 0.000 0.000 0.500
3 V 0.352 0.352 0.214
4 V 0.648 0.648 0.786
5 O 0.193 0.193 0.096
6 O 0.195 0.705 0.168
7 O 0.295 0.805 0.832
8 O 0.318 0.318 0.415
9 O 0.682 0.682 0.585
10 O 0.705 0.195 0.168
11 O 0.805 0.295 0.832
12 O 0.807 0.807 0.904

Calculated density ... 3986 kg/m3
Space group ... C2/m (12)
N(E_F) ... 0.00 states/eV/cell

=====

Here are the calculated total energy numbers, same order: -7.355, -7.551 (eV/atom).